## CaZnPd (PBE-GGA)

Data for a relaxed structure of CaZnPd.

abc: 10.0146 7.6255 7.5499
angles: 82.59 49.03 48.38
Closest atoms and distances in Å follow each position.
Fractional positions:
Ca  0.0019  0.7428  0.2572  4 Pd 2.82-2.90
Ca  0.2572  0.9981  0.0019  4 Pd 2.82-2.90
Ca  0.7428  0.0019  0.9981  4 Pd 2.82-2.90
Ca  0.9981  0.2572  0.7428  4 Pd 2.82-2.90
Zn  0.3532  0.6468  0.3532  2 Pd 2.58, 2 Zn 2.79
Zn  0.3683  0.3683  0.6317  2 Pd 2.58, 2 Zn 2.79
Zn  0.6317  0.6317  0.3683  2 Pd 2.58, 2 Zn 2.79
Zn  0.6468  0.3532  0.6468  2 Pd 2.58, 2 Zn 2.79
Pd  0.1445  0.4979  0.5021  2 Zn 2.58, 2 Ca 2.82-2.84
Pd  0.4979  0.1445  0.8555  2 Zn 2.58, 2 Ca 2.82-2.84
Pd  0.5021  0.8555  0.1445  2 Zn 2.58, 2 Ca 2.82-2.84
Pd  0.8555  0.5021  0.4979  2 Zn 2.58, 2 Ca 2.82-2.84

Computed properties:
ΔH_f (0 K) = -0.3670 eV/atom
calculated density = 5.1 g/cm³
density of states at the Fermi level = 4.42 states/eV/cell
symmetry = No. 69
total magnetization = 0.00 μB per cell